Compound: NiCl2F
Source: Alexandria
Functional: PBE with a Hubbard U
Structure: relaxed

The calculated total energy comes out at -2.268 eV/atom. The total magnetization is 3.00 μB per formula unit. As for the volume: 20.06 Å³ per atom. The calculation puts the energy above the most stable polymorph in this dataset at 302 meV/atom.

The space group is I-42d (No. 122) and the conventional cell measures 6.376, 6.376 and 7.894 Å, with angles of 90.00, 90.00 and 90.00 degrees. The distinct sites, in fractional coordinates, are Ni at (0.000, 0.000, 0.000), Cl at (0.193, 0.750, 0.125) and F at (0.000, 0.000, 0.500).